{"formula": "Zn2NiW", "functional": "PBE", "state": "optimized geometry", "magnetic_moment_mub_per_fu": 0.0, "spacegroup": "No. 8", "relative_energy_ev_per_atom": 0.167, "lattice_angstrom": [[4.325, -1.339, 0.000], [4.325, 1.339, 0.000], [-0.731, 0.000, 4.822]], "species": ["Zn", "Zn", "Ni", "W"], "frac_coords": [[0.000, 0.000, 0.000], [0.248, 0.248, 0.779], [0.744, 0.744, 0.283], [0.492, 0.492, 0.489]]}

=====

{"formula": "Zn2NiW", "functional": "PBE", "state": "optimized geometry", "magnetic_moment_mub_per_fu": 1.5, "spacegroup": "No. 225", "relative_energy_ev_per_atom": 0.400, "lattice_angstrom": [[0.000, 3.024, 3.024], [3.024, 0.000, 3.024], [3.024, 3.024, 0.000]], "species": ["Zn", "Zn", "Ni", "W"], "frac_coords": [[0.250, 0.250, 0.250], [0.750, 0.750, 0.750], [0.000, 0.000, 0.000], [0.500, 0.500, 0.500]]}

=====

{"formula": "ZnNiW2", "functional": "PBE", "state": "optimized geometry", "magnetic_moment_mub_per_fu": 0.0, "spacegroup": "No. 216", "lattice_angstrom": [[0.000, 3.085, 3.085], [3.085, 0.000, 3.085], [3.085, 3.085, 0.000]], "species": ["Zn", "Ni", "W", "W"], "frac_coords": [[0.000, 0.000, 0.000], [0.250, 0.250, 0.250], [0.500, 0.500, 0.500], [0.750, 0.750, 0.750]]}

=====

{"formula": "Zn3NiW", "functional": "PBE", "state": "optimized geometry", "magnetic_moment_mub_per_fu": 0.0, "spacegroup": "No. 221", "relative_energy_ev_per_atom": 0.000, "lattice_angstrom": [[4.326, 0.000, 0.000], [0.000, 4.326, 0.000], [0.000, 0.000, 4.326]], "species": ["Zn", "Zn", "Zn", "Ni", "W"], "frac_coords": [[0.000, 0.000, 0.500], [0.000, 0.500, 0.000], [0.500, 0.000, 0.000], [0.000, 0.000, 0.000], [0.500, 0.500, 0.500]]}

=====

{"formula": "ZnNi6W", "functional": "PBE", "state": "optimized geometry", "magnetic_moment_mub_per_fu": 0.0, "spacegroup": "No. 123", "relative_energy_ev_per_atom": 0.000, "lattice_angstrom": [[3.615, 0.000, 0.000], [0.000, 3.615, 0.000], [0.000, 0.000, 7.159]], "species": ["Zn", "Ni", "Ni", "Ni", "Ni", "Ni", "Ni", "W"], "frac_coords": [[0.000, 0.000, 0.000], [0.000, 0.500, 0.253], [0.000, 0.500, 0.747], [0.500, 0.000, 0.253], [0.500, 0.000, 0.747], [0.500, 0.500, 0.000], [0.500, 0.500, 0.500], [0.000, 0.000, 0.500]]}

=====

{"formula": "ZnNi6W", "functional": "PBE", "state": "optimized geometry", "magnetic_moment_mub_per_fu": 0.0, "spacegroup": "No. 65", "relative_energy_ev_per_atom": 0.013, "lattice_angstrom": [[3.602, -5.100, 0.000], [3.602, 5.100, 0.000], [0.000, 0.000, 10.211]], "species": ["Zn", "Zn", "Zn", "Zn", "Ni", "Ni", "Ni", "Ni", "Ni", "Ni", "Ni", "Ni", "Ni", "Ni", "Ni", "Ni", "Ni", "Ni", "Ni", "Ni", "Ni", "Ni", "Ni", "Ni", "Ni", "Ni", "Ni", "Ni", "W", "W", "W", "W"], "frac_coords": [[0.000, 0.000, 0.246], [0.000, 0.000, 0.754], [0.250, 0.750, 0.000], [0.750, 0.250, 0.000], [0.000, 0.000, 0.000], [0.000, 0.000, 0.500], [0.126, 0.376, 0.376], [0.126, 0.376, 0.624], [0.128, 0.376, 0.126], [0.128, 0.376, 0.874], [0.251, 0.749, 0.253], [0.251, 0.749, 0.747], [0.376, 0.126, 0.376], [0.376, 0.126, 0.624], [0.376, 0.128, 0.126], [0.376, 0.128, 0.874], [0.500, 0.500, 0.000], [0.500, 0.500, 0.500], [0.624, 0.872, 0.126], [0.624, 0.872, 0.874], [0.624, 0.874, 0.376], [0.624, 0.874, 0.624], [0.749, 0.251, 0.253], [0.749, 0.251, 0.747], [0.872, 0.624, 0.126], [0.872, 0.624, 0.874], [0.874, 0.624, 0.376], [0.874, 0.624, 0.624], [0.253, 0.747, 0.500], [0.500, 0.500, 0.241], [0.500, 0.500, 0.759], [0.747, 0.253, 0.500]]}

=====

{"formula": "ZnNiW2", "functional": "PBE", "state": "optimized geometry", "magnetic_moment_mub_per_fu": 0.0, "spacegroup": "No. 47", "lattice_angstrom": [[3.609, 0.000, 0.000], [0.000, 3.868, 0.000], [0.000, 0.000, 4.098]], "species": ["Zn", "Ni", "W", "W"], "frac_coords": [[0.000, 0.000, 0.000], [0.500, 0.500, 0.000], [0.000, 0.500, 0.500], [0.500, 0.000, 0.500]]}

=====

{"formula": "Zn2NiW", "functional": "PBE", "state": "optimized geometry", "magnetic_moment_mub_per_fu": 0.0, "spacegroup": "No. 123", "relative_energy_ev_per_atom": 0.187, "lattice_angstrom": [[3.740, 0.000, 0.000], [0.000, 3.740, 0.000], [0.000, 0.000, 3.918]], "species": ["Zn", "Zn", "Ni", "W"], "frac_coords": [[0.000, 0.500, 0.000], [0.500, 0.000, 0.000], [0.000, 0.000, 0.500], [0.500, 0.500, 0.500]]}

=====

{"formula": "ZnNi2W", "functional": "PBE", "state": "optimized geometry", "magnetic_moment_mub_per_fu": 0.0, "spacegroup": "No. 47", "lattice_angstrom": [[2.729, 0.000, 0.000], [0.000, 4.283, 0.000], [0.000, 0.000, 4.494]], "species": ["Zn", "Ni", "Ni", "W"], "frac_coords": [[0.000, 0.000, 0.000], [0.000, 0.500, 0.500], [0.500, 0.500, 0.000], [0.500, 0.000, 0.500]]}

=====

{"formula": "Zn2NiW", "functional": "PBE", "state": "optimized geometry", "magnetic_moment_mub_per_fu": 0.0, "spacegroup": "No. 123", "relative_energy_ev_per_atom": 0.270, "lattice_angstrom": [[4.557, 0.000, 0.000], [0.000, 4.557, 0.000], [0.000, 0.000, 2.691]], "species": ["Zn", "Zn", "Ni", "W"], "frac_coords": [[0.000, 0.500, 0.000], [0.500, 0.000, 0.000], [0.000, 0.000, 0.500], [0.500, 0.500, 0.500]]}

=====

{"formula": "ZnNiW2", "functional": "PBE", "state": "optimized geometry", "magnetic_moment_mub_per_fu": 0.0, "spacegroup": "No. 122", "lattice_angstrom": [[-1.830, 1.830, 9.424], [1.830, -1.830, 9.424], [1.830, 1.830, -9.424]], "species": ["Zn", "Zn", "Ni", "Ni", "W", "W", "W", "W"], "frac_coords": [[0.000, 0.000, 0.000], [0.750, 0.250, 0.500], [0.250, 0.750, 0.500], [0.500, 0.500, 0.000], [0.124, 0.625, 0.999], [0.375, 0.374, 0.499], [0.626, 0.125, 0.001], [0.875, 0.876, 0.501]]}

=====

{"formula": "ZnNi2W", "functional": "PBE", "state": "optimized geometry", "magnetic_moment_mub_per_fu": 0.0, "spacegroup": "No. 123", "lattice_angstrom": [[4.442, 0.000, 0.000], [0.000, 4.442, 0.000], [0.000, 0.000, 2.643]], "species": ["Zn", "Ni", "Ni", "W"], "frac_coords": [[0.000, 0.000, 0.000], [0.000, 0.500, 0.500], [0.500, 0.000, 0.500], [0.500, 0.500, 0.000]]}

=====

{"formula": "ZnNiW2", "functional": "PBE", "state": "optimized geometry", "magnetic_moment_mub_per_fu": 0.0, "spacegroup": "No. 8", "lattice_angstrom": [[4.512, -1.327, 0.000], [4.512, 1.327, 0.000], [-0.657, 0.000, 4.821]], "species": ["Zn", "Ni", "W", "W"], "frac_coords": [[0.000, 0.000, 0.000], [0.254, 0.254, 0.776], [0.516, 0.516, 0.515], [0.755, 0.755, 0.258]]}

=====

{"formula": "Zn2NiW", "functional": "PBE", "state": "optimized geometry", "magnetic_moment_mub_per_fu": 0.3, "spacegroup": "No. 216", "relative_energy_ev_per_atom": 0.304, "lattice_angstrom": [[0.000, 3.017, 3.017], [3.017, 0.000, 3.017], [3.017, 3.017, 0.000]], "species": ["Zn", "Zn", "Ni", "W"], "frac_coords": [[0.000, 0.000, 0.000], [0.250, 0.250, 0.250], [0.500, 0.500, 0.500], [0.750, 0.750, 0.750]]}

=====

{"formula": "Zn2Ni2W", "functional": "PBE", "state": "optimized geometry", "magnetic_moment_mub_per_fu": 0.0, "spacegroup": "No. 127", "relative_energy_ev_per_atom": 0.000, "lattice_angstrom": [[7.018, 0.000, 0.000], [0.000, 7.018, 0.000], [0.000, 0.000, 2.630]], "species": ["Zn", "Zn", "Zn", "Zn", "Ni", "Ni", "Ni", "Ni", "W", "W"], "frac_coords": [[0.124, 0.376, 0.000], [0.376, 0.876, 0.000], [0.624, 0.124, 0.000], [0.876, 0.624, 0.000], [0.176, 0.676, 0.500], [0.324, 0.176, 0.500], [0.676, 0.824, 0.500], [0.824, 0.324, 0.500], [0.000, 0.000, 0.000], [0.500, 0.500, 0.000]]}

=====

{"formula": "ZnNiW2", "functional": "PBE", "state": "optimized geometry", "magnetic_moment_mub_per_fu": 0.0, "spacegroup": "No. 6", "lattice_angstrom": [[2.665, 0.000, 0.000], [0.000, 4.228, 0.000], [-0.814, 0.000, 5.085]], "species": ["Zn", "Ni", "W", "W"], "frac_coords": [[0.000, 0.000, 0.000], [0.074, 0.500, 0.242], [0.417, 0.500, 0.761], [0.647, 0.000, 0.482]]}

=====

{"formula": "ZnNiW4", "functional": "PBE", "state": "optimized geometry", "magnetic_moment_mub_per_fu": 0.0, "spacegroup": "No. 216", "lattice_angstrom": [[0.000, 3.699, 3.699], [3.699, 0.000, 3.699], [3.699, 3.699, 0.000]], "species": ["Zn", "Ni", "W", "W", "W", "W"], "frac_coords": [[0.000, 0.000, 0.000], [0.250, 0.250, 0.250], [0.124, 0.625, 0.625], [0.625, 0.124, 0.625], [0.625, 0.625, 0.124], [0.625, 0.625, 0.625]]}

=====

{"formula": "Zn2NiW", "functional": "PBE", "state": "optimized geometry", "magnetic_moment_mub_per_fu": 1.8, "spacegroup": "No. 139", "relative_energy_ev_per_atom": 0.353, "lattice_angstrom": [[-1.913, 1.913, 3.806], [1.913, -1.913, 3.806], [1.913, 1.913, -3.806]], "species": ["Zn", "Zn", "Ni", "W"], "frac_coords": [[0.250, 0.750, 0.500], [0.750, 0.250, 0.500], [0.000, 0.000, 0.000], [0.500, 0.500, 0.000]]}

=====

{"formula": "ZnNi2W", "functional": "PBE", "state": "optimized geometry", "magnetic_moment_mub_per_fu": 0.0, "spacegroup": "No. 119", "lattice_angstrom": [[-1.895, 1.895, 3.565], [1.895, -1.895, 3.565], [1.895, 1.895, -3.565]], "species": ["Zn", "Ni", "Ni", "W"], "frac_coords": [[0.000, 0.000, 0.000], [0.250, 0.750, 0.500], [0.500, 0.500, 0.000], [0.750, 0.250, 0.500]]}

=====

{"formula": "Zn2NiW", "functional": "PBE", "state": "optimized geometry", "magnetic_moment_mub_per_fu": 0.0, "spacegroup": "No. 44", "relative_energy_ev_per_atom": 0.210, "lattice_angstrom": [[-1.339, 2.293, 4.565], [1.339, -2.293, 4.565], [1.339, 2.293, -4.565]], "species": ["Zn", "Zn", "Ni", "W"], "frac_coords": [[0.000, 0.000, 0.000], [0.741, 0.241, 0.500], [0.234, 0.734, 0.500], [0.473, 0.473, 0.000]]}

=====

{"formula": "ZnNiW2", "functional": "PBE", "state": "optimized geometry", "magnetic_moment_mub_per_fu": 0.0, "spacegroup": "No. 160", "lattice_angstrom": [[1.384, 0.799, 8.886], [-1.384, 0.799, 8.886], [0.000, -1.598, 8.886]], "species": ["Zn", "Ni", "W", "W"], "frac_coords": [[0.000, 0.000, 0.000], [0.258, 0.258, 0.258], [0.513, 0.513, 0.513], [0.755, 0.755, 0.755]]}

=====

{"formula": "Zn2NiW", "functional": "PBE", "state": "optimized geometry", "magnetic_moment_mub_per_fu": 0.0, "spacegroup": "No. 119", "relative_energy_ev_per_atom": 0.264, "lattice_angstrom": [[-1.920, 1.920, 3.721], [1.920, -1.920, 3.721], [1.920, 1.920, -3.721]], "species": ["Zn", "Zn", "Ni", "W"], "frac_coords": [[0.000, 0.000, 0.000], [0.750, 0.250, 0.500], [0.250, 0.750, 0.500], [0.500, 0.500, 0.000]]}

=====

{"formula": "ZnNiW2", "functional": "PBE", "state": "optimized geometry", "magnetic_moment_mub_per_fu": 0.0, "spacegroup": "No. 123", "lattice_angstrom": [[2.695, 0.000, 0.000], [0.000, 2.695, 0.000], [0.000, 0.000, 7.865]], "species": ["Zn", "Ni", "W", "W"], "frac_coords": [[0.000, 0.000, 0.000], [0.000, 0.000, 0.500], [0.500, 0.500, 0.265], [0.500, 0.500, 0.735]]}

=====

{"formula": "ZnNiW2", "functional": "PBE", "state": "optimized geometry", "magnetic_moment_mub_per_fu": 0.0, "spacegroup": "No. 35", "lattice_angstrom": [[1.639, -2.123, 0.000], [1.639, 2.123, 0.000], [0.000, 0.000, 8.307]], "species": ["Zn", "Ni", "W", "W"], "frac_coords": [[0.000, 0.000, 0.000], [0.500, 0.500, 0.773], [0.000, 0.000, 0.540], [0.500, 0.500, 0.267]]}

=====

{"formula": "Zn2NiW", "functional": "PBE", "state": "optimized geometry", "magnetic_moment_mub_per_fu": 0.0, "spacegroup": "No. 122", "relative_energy_ev_per_atom": 0.572, "lattice_angstrom": [[-3.399, 3.399, 2.540], [3.399, -3.399, 2.540], [3.399, 3.399, -2.540]], "species": ["Zn", "Zn", "Zn", "Zn", "Ni", "Ni", "W", "W"], "frac_coords": [[0.097, 0.125, 0.472], [0.375, 0.903, 0.028], [0.653, 0.625, 0.528], [0.875, 0.347, 0.972], [0.000, 0.000, 0.000], [0.750, 0.250, 0.500], [0.250, 0.750, 0.500], [0.500, 0.500, 0.000]]}

=====

{"formula": "ZnNiW2", "functional": "PBE", "state": "optimized geometry", "magnetic_moment_mub_per_fu": 0.0, "spacegroup": "No. 99", "lattice_angstrom": [[2.711, 0.000, 0.000], [0.000, 2.711, 0.000], [0.000, 0.000, 7.776]], "species": ["Zn", "Ni", "W", "W"], "frac_coords": [[0.000, 0.000, 0.000], [0.500, 0.500, 0.218], [0.000, 0.000, 0.442], [0.500, 0.500, 0.736]]}

=====

{"formula": "ZnNi6W2", "functional": "PBE", "state": "optimized geometry", "magnetic_moment_mub_per_fu": 0.0, "spacegroup": "No. 71", "lattice_angstrom": [[-1.296, 3.480, 6.330], [1.296, -3.480, 6.330], [1.296, 3.480, -6.330]], "species": ["Zn", "Ni", "Ni", "Ni", "Ni", "Ni", "Ni", "W", "W"], "frac_coords": [[0.000, 0.000, 0.000], [0.001, 0.324, 0.676], [0.318, 0.500, 0.818], [0.352, 0.676, 0.676], [0.648, 0.324, 0.324], [0.682, 0.500, 0.182], [0.999, 0.676, 0.324], [0.352, 0.852, 0.500], [0.648, 0.148, 0.500]]}

=====

Here are the calculated VASP energy numbers, same order: -20.6 -19.7 -31.6 -17.7 -50.2 -200.3 -32.1 -20.5 -24.8 -20.2 -60.3 -25.6 -32.1 -20.1 -53.3 -32.4 -54.3 -19.9 -25.2 -20.4 -32.0 -20.2 -32.2 -32.7 -38.0 -32.6 -61.3 (eV per cell).
Here are the calculated calculated formation energy numbers, same order: 0.1704 0.4031 0.3370 0.9733 -0.1579 -0.1446 0.2077 0.1901 0.2537 0.2725 0.7090 0.0412 0.2272 0.3066 0.0795 0.1321 0.7565 0.3560 0.1376 0.2127 0.2287 0.2669 0.1811 0.0656 0.5748 0.0942 0.0617 (eV per atom).